## CsK2Bi2 (PBEsol)

Data for CsK2Bi2 after structural relaxation.

```
data_CsK2Bi2
_space_group_name_H-M_alt 'I 4/m m m'
_space_group_IT_number 139
_space_group_name_Hall '-I 4 2'
_cell_length_a 5.678
_cell_length_b 5.678
_cell_length_c 14.587
_cell_angle_alpha 90.00
_cell_angle_beta 90.00
_cell_angle_gamma 90.00
loop_
_atom_site_label
_atom_site_fract_x
_atom_site_fract_y
_atom_site_fract_z
Cs1 0.000 0.000 0.000
K1 0.000 0.500 0.250
Bi1 0.000 0.000 0.401
```

Results
Energy above the most stable polymorph in this dataset = 0.019 eV per atom
Energy of formation = -26 kJ/mol of atoms
N(E_F) = 4.37 states/eV/f.u.